# 1
First-principles (GGA-PBE) data for crystalline AlNiAs2 at its relaxed geometry, as listed in Alexandria.

The crystal system is orthorhombic. The calculation puts the total magnetization at 0.000 Bohr magnetons per cell. As for the total energy: -4.717 eV per atom. As for the energy of formation from the pure elements: -4 kJ/mol of formula units.

abc: 2.9860 3.7427 11.9802
angles: 90.00 90.00 90.00
Space group Imm2 (No. 44)
Asymmetric unit:
Al  0.0000  0.0000  0.0000 [2 per cell]
Ni  0.0000  0.5000  0.2762 [2 per cell]
As  0.0000  0.0000  0.6124 [2 per cell]
As  0.0000  0.5000  0.8407 [2 per cell]



# 2
First-principles (GGA-PBE) data for crystalline AlNi2As at its relaxed geometry, as listed in Alexandria.

The crystal system is monoclinic. The calculation puts the total magnetization at 0.000 Bohr magnetons per cell. As for the total energy: -5.403 eV per atom. As for the energy of formation from the pure elements: -160 kJ/mol of formula units.

abc: 7.2533 5.6327 5.3175
angles: 90.00 90.56 90.00
Space group P2_1/c (No. 14)
Asymmetric unit:
Al  0.1215  0.1192  0.3149 [4 per cell]
Ni  0.1351  0.6782  0.4906 [4 per cell]
Ni  0.3924  0.1912  0.0107 [4 per cell]
As  0.3618  0.5799  0.1830 [4 per cell]



# 3
First-principles (GGA-PBE) data for crystalline AlNiAs2 at its relaxed geometry, as listed in Alexandria.

The crystal system is tetragonal. The calculation puts the total magnetization at 0.000 Bohr magnetons per cell. As for the total energy: -4.554 eV per atom. As for the energy of formation from the pure elements: 59 kJ/mol of formula units.

abc: 3.6465 3.6465 9.7371
angles: 90.00 90.00 90.00
Space group I-4m2 (No. 119)
Asymmetric unit:
Al  0.0000  0.0000  0.0000 [2 per cell]
Ni  0.0000  0.5000  0.2500 [2 per cell]
As  0.0000  0.0000  0.5000 [2 per cell]
As  0.0000  0.5000  0.7500 [2 per cell]



# 4
First-principles (GGA-PBE) data for crystalline AlNiAs2 at its relaxed geometry, as listed in Alexandria.

The crystal system is cubic. The calculation puts the total magnetization at 0.000 Bohr magnetons per cell. As for the total energy: -4.445 eV per atom. As for the energy of formation from the pure elements: 101 kJ/mol of formula units.

abc: 6.3718 6.3718 6.3718
angles: 90.00 90.00 90.00
Space group F-43m (No. 216)
Asymmetric unit:
Al  0.0000  0.0000  0.0000 [4 per cell]
Ni  0.2500  0.2500  0.7500 [4 per cell]
As  0.0000  0.0000  0.5000 [4 per cell]
As  0.2500  0.2500  0.2500 [4 per cell]



# 5
First-principles (GGA-PBE) data for crystalline Al2NiAs at its relaxed geometry, as listed in Alexandria.

The crystal system is tetragonal. The calculation puts the total magnetization at 0.000 Bohr magnetons per cell. As for the total energy: -4.325 eV per atom. As for the energy of formation from the pure elements: 60 kJ/mol of formula units.

abc: 6.0448 6.0448 9.0389
angles: 90.00 90.00 90.00
Space group I-42d (No. 122)
Asymmetric unit:
Al  0.2331  0.2500  0.1250 [8 per cell]
Ni  0.0000  0.0000  0.0000 [4 per cell]
As  0.0000  0.0000  0.5000 [4 per cell]



# 6
First-principles (GGA-PBE) data for crystalline Al2NiAs at its relaxed geometry, as listed in Alexandria.

The crystal system is tetragonal. The calculation puts the total magnetization at 0.000 Bohr magnetons per cell. As for the total energy: -4.679 eV per atom. As for the energy of formation from the pure elements: -77 kJ/mol of formula units.

abc: 2.8414 2.8414 7.4550
angles: 90.00 90.00 90.00
Space group P4/mmm (No. 123)
Asymmetric unit:
Al  0.0000  0.0000  0.2001 [2 per cell]
Ni  0.5000  0.5000  0.0000 [1 per cell]
As  0.5000  0.5000  0.5000 [1 per cell]



# 7
First-principles (GGA-PBE) data for crystalline AlNiAs2 at its relaxed geometry, as listed in Alexandria.

The crystal system is orthorhombic. The calculation puts the total magnetization at 0.000 Bohr magnetons per cell. As for the total energy: -4.624 eV per atom. As for the energy of formation from the pure elements: 32 kJ/mol of formula units.

abc: 2.8427 3.2801 6.8438
angles: 90.00 90.00 90.00
Space group Pmmm (No. 47)
Asymmetric unit:
Al  0.0000  0.0000  0.0000 [1 per cell]
Ni  0.0000  0.0000  0.5000 [1 per cell]
As  0.5000  0.5000  0.2832 [2 per cell]



# 8
First-principles (GGA-PBE) data for crystalline Al2NiAs at its relaxed geometry, as listed in Alexandria.

The crystal system is tetragonal. The calculation puts the total magnetization at 0.000 Bohr magnetons per cell. As for the total energy: -4.614 eV per atom. As for the energy of formation from the pure elements: -52 kJ/mol of formula units.

abc: 3.3158 3.3158 5.3228
angles: 90.00 90.00 90.00
Space group P4/mmm (No. 123)
Asymmetric unit:
Al  0.0000  0.0000  0.2410 [2 per cell]
Ni  0.5000  0.5000  0.0000 [1 per cell]
As  0.5000  0.5000  0.5000 [1 per cell]



# 9
First-principles (GGA-PBE) data for crystalline AlNiAs2 at its relaxed geometry, as listed in Alexandria.

The crystal system is monoclinic. The calculation puts the total magnetization at 0.000 Bohr magnetons per cell. As for the total energy: -4.820 eV per atom. As for the energy of formation from the pure elements: -44 kJ/mol of formula units.

abc: 6.2141 3.6234 6.3098
angles: 90.00 109.68 90.00
Space group C2/m (No. 12)
Asymmetric unit:
Al  0.0000  0.0000  0.0000 [2 per cell]
Ni  0.0000  0.5000  0.5000 [2 per cell]
As  0.2390  0.0000  0.7166 [4 per cell]



# 10
First-principles (GGA-PBE) data for crystalline AlNi6As at its relaxed geometry, as listed in Alexandria.

The crystal system is monoclinic. The offset from the most stable computed form comes out at 252.0 meV/atom. The calculation puts the total magnetization at 0.000 Bohr magnetons per cell. As for the total energy: -5.453 eV per atom. As for the energy of formation from the pure elements: -53 kJ/mol of formula units.

abc: 6.9853 4.8829 6.4897
angles: 90.00 110.66 90.00
Space group C2/m (No. 12)
Asymmetric unit:
Al  0.0000  0.0000  0.0000 [2 per cell]
Ni  0.1484  0.0000  0.4373 [4 per cell]
Ni  0.1897  0.2393  0.8007 [8 per cell]
As  0.0000  0.5000  0.5000 [2 per cell]



# 11
First-principles (GGA-PBE) data for crystalline AlNiAs2 at its relaxed geometry, as listed in Alexandria.

The crystal system is trigonal. The calculation puts the total magnetization at 0.000 Bohr magnetons per cell. As for the total energy: -4.736 eV per atom. As for the energy of formation from the pure elements: -12 kJ/mol of formula units.

abc: 2.9711 2.9711 27.2619
angles: 90.00 90.00 120.00
Space group R3m (No. 160, hexagonal axes)
Asymmetric unit:
Al  0.0000  0.0000  0.0000 [3 per cell]
Ni  0.0000  0.0000  0.2640 [3 per cell]
As  0.0000  0.0000  0.5356 [3 per cell]
As  0.0000  0.0000  0.7430 [3 per cell]



# 12
First-principles (GGA-PBE) data for crystalline Al2NiAs at its relaxed geometry, as listed in Alexandria.

The crystal system is orthorhombic. The calculation puts the total magnetization at 0.000 Bohr magnetons per cell. As for the total energy: -4.530 eV per atom. As for the energy of formation from the pure elements: -20 kJ/mol of formula units.

abc: 3.5048 4.0872 4.1773
angles: 90.00 90.00 90.00
Space group Pmmm (No. 47)
Asymmetric unit:
Al  0.0000  0.0000  0.0000 [1 per cell]
Al  0.0000  0.5000  0.5000 [1 per cell]
Ni  0.5000  0.0000  0.5000 [1 per cell]
As  0.5000  0.5000  0.0000 [1 per cell]



# 13
First-principles (GGA-PBE) data for crystalline AlNi2As at its relaxed geometry, as listed in Alexandria.

The crystal system is tetragonal. The calculation puts the total magnetization at 0.000 Bohr magnetons per cell. As for the total energy: -5.298 eV per atom. As for the energy of formation from the pure elements: -119 kJ/mol of formula units.

abc: 2.9964 2.9964 5.7437
angles: 90.00 90.00 90.00
Space group P4/mmm (No. 123)
Asymmetric unit:
Al  0.0000  0.0000  0.0000 [1 per cell]
Ni  0.5000  0.5000  0.2367 [2 per cell]
As  0.0000  0.0000  0.5000 [1 per cell]



# 14
First-principles (GGA-PBE) data for crystalline AlNiAs2 at its relaxed geometry, as listed in Alexandria.

The crystal system is orthorhombic. The calculation puts the total magnetization at 0.000 Bohr magnetons per cell. As for the total energy: -4.552 eV per atom. As for the energy of formation from the pure elements: 59 kJ/mol of formula units.

abc: 3.4592 4.2126 4.3292
angles: 90.00 90.00 90.00
Space group Pmmm (No. 47)
Asymmetric unit:
Al  0.0000  0.0000  0.0000 [1 per cell]
Ni  0.0000  0.5000  0.5000 [1 per cell]
As  0.5000  0.0000  0.5000 [1 per cell]
As  0.5000  0.5000  0.0000 [1 per cell]